VASP calculation (PBE) on an optimized crystal structure of Y5Al2Sb2.

Cell lengths 7.989, 8.000, 8.729 Å; angles 117.28, 90.00, 90.00 degrees
Fractional coordinates of all 18 atoms:
Y (0.000, 0.000, 0.000)
Y (0.500, 0.500, 0.000)
Y (0.831, 0.805, 0.267)
Y (0.169, 0.462, 0.267)
Y (0.331, 0.962, 0.267)
Y (0.669, 0.305, 0.267)
Y (0.169, 0.195, 0.733)
Y (0.831, 0.538, 0.733)
Y (0.669, 0.038, 0.733)
Y (0.331, 0.695, 0.733)
Al (0.621, 0.879, 0.000)
Al (0.379, 0.121, 0.000)
Al (0.121, 0.621, 0.000)
Al (0.879, 0.379, 0.000)
Sb (0.000, 0.205, 0.410)
Sb (0.500, 0.705, 0.410)
Sb (0.000, 0.795, 0.590)
Sb (0.500, 0.295, 0.590)

Properties
ΔE_f (raw)	-757.3	meV per atom